# Y2TaOs

Y2TaOs after structural relaxation (PBE, the Alexandria database).

Results
Its crystal system is monoclinic. The final energy comes out at -8.6536 eV per atom. The calculation puts the total magnetic moment at 0.00 μB per formula unit. The calculation puts the density of states at the Fermi level at 4.0 states/eV/cell. Its polymorph energy (0 for the lowest one) is 417 meV/atom.

Structure (POSCAR):
```
Y2TaOs
1.0
-4.063 -2.295 -0.676
0.006 -0.915 3.069
-2.873 4.147 3.186
Ta Y Os
1 2 1
Cartesian
-4.182 1.276 4.353
-0.034 -0.021 0.275
-1.399 1.637 2.852
-2.748 -0.340 1.226
```

# La2Mg3Cd4

La2Mg3Cd4 after structural relaxation (PBE, the Alexandria database).

Results
Its crystal system is triclinic. The final energy comes out at -2.2927 eV per atom. The calculation puts the total magnetic moment at 0.00 μB per formula unit. The calculation puts the density of states at the Fermi level at 4.2 states/eV/cell. Its polymorph energy (0 for the lowest one) is 0 meV/atom.

Structure (POSCAR):
```
La2Mg3Cd4
1.0
5.172 0.001 0.003
2.586 4.529 0.256
0.002 -0.187 9.956
Cd La Mg
4 2 3
Cartesian
5.174 2.888 9.105
2.584 4.322 3.778
2.586 1.455 1.110
5.176 0.021 6.437
2.589 1.432 7.901
5.171 2.910 2.314
5.175 3.008 5.904
0.000 0.000 0.000
2.585 1.335 4.310
```

# Ga2Hg

Ga2Hg after structural relaxation (PBE, the Alexandria database).

Results
Its crystal system is cubic. The final energy comes out at -2.0193 eV per atom. The calculation puts the total magnetic moment at 0.00 μB per formula unit. The calculation puts the density of states at the Fermi level at 2.3 states/eV/cell. Its polymorph energy (0 for the lowest one) is 24 meV/atom.

Structure (POSCAR):
```
Ga2Hg
1.0
5.718 0.000 0.000
2.859 4.952 0.000
2.859 1.651 4.668
Hg Ga
2 4
Cartesian
0.000 0.000 0.000
2.859 1.651 1.167
5.718 1.651 2.918
5.718 3.301 0.584
7.147 4.126 2.918
4.288 4.126 2.918
```

# La3Nd8

La3Nd8 after structural relaxation (PBE, the Alexandria database).

Results
Its crystal system is trigonal. The final energy comes out at -4.4116 eV per atom. The calculation puts the total magnetic moment at 0.00 μB per formula unit. The calculation puts the density of states at the Fermi level at 16.0 states/eV/cell. Its polymorph energy (0 for the lowest one) is 382 meV/atom.

Structure (POSCAR):
```
La3Nd8
1.0
-1.389 6.894 1.964
-4.506 -1.935 5.409
5.250 0.126 5.073
Nd La
8 3
Cartesian
-2.604 -0.711 6.668
-0.245 1.934 4.734
-0.400 3.151 7.713
-1.881 5.577 4.137
1.237 -0.492 8.309
3.620 1.959 5.900
-4.265 3.126 6.547
1.960 5.796 5.778
1.930 3.510 3.518
-2.947 2.479 3.687
0.372 -0.904 5.241
```

# TaPAuN2

TaPAuN2 after structural relaxation (PBE, the Alexandria database).

Results
Its crystal system is tetragonal. The final energy comes out at -6.9074 eV per atom. As for the formation energy (no corrections): 531 meV per atom. The calculation puts the total magnetic moment at 0.71 μB per formula unit. The calculation puts the density of states at the Fermi level at 3.2 states/eV/cell.

Structure (POSCAR):
```
TaPAuN2
1.0
3.941 0.000 0.000
0.000 5.457 0.000
0.000 0.000 3.941
N Au Ta P
2 1 1 1
Cartesian
1.971 0.000 0.000
0.000 0.000 1.971
1.971 2.728 1.971
0.000 0.000 0.000
0.000 2.728 0.000
```